1.
Material: Ce2AlTc3
Method: DFT, GGA-PBE
State: relaxed

Lattice parameters (Å, degrees): 8.901 5.709 5.446 90.00 125.65 90.00
Space group C2/m (No. 12)
Asymmetric unit:
Ce: 0.109 0.000 0.364 (multiplicity 4)
Al: 0.000 0.500 0.500 (multiplicity 2)
Tc: 0.000 0.500 0.000 (multiplicity 2)
Tc: 0.250 0.250 0.000 (multiplicity 4)

E_tot = -96.47 eV per cell
energy relative to the elements = -25 kJ/mol of atoms
excess energy over the best structure of this formula in the dataset = 0 meV per atom

2.
Material: ErMg3Co
Method: DFT, GGA-PBE
State: relaxed

Lattice parameters (Å, degrees): 15.632 3.933 7.478 90.00 111.30 90.00
Space group C2/m (No. 12)
Asymmetric unit:
Er: 0.044 0.000 0.246 (multiplicity 4)
Mg: 0.107 0.500 0.653 (multiplicity 4)
Mg: 0.179 0.000 0.993 (multiplicity 4)
Mg: 0.229 0.500 0.333 (multiplicity 4)
Co: 0.071 0.500 0.003 (multiplicity 4)

E_tot = -68.01 eV per cell
energy relative to the elements = -11 kJ/mol of atoms

Q: Which of these has the highest energy relative to the elements?
A: ErMg3Co

What did the first record say?
Material: Ce2AlTc3
Method: DFT, GGA-PBE
State: relaxed

Lattice parameters (Å, degrees): 8.901 5.709 5.446 90.00 125.65 90.00
Space group C2/m (No. 12)
Asymmetric unit:
Ce: 0.109 0.000 0.364 (multiplicity 4)
Al: 0.000 0.500 0.500 (multiplicity 2)
Tc: 0.000 0.500 0.000 (multiplicity 2)
Tc: 0.250 0.250 0.000 (multiplicity 4)

E_tot = -96.47 eV per cell
energy relative to the elements = -25 kJ/mol of atoms
excess energy over the best structure of this formula in the dataset = 0 meV per atom